Entry 1:
The following is a PBE calculation of UPaAl2 after structural relaxation, from the Alexandria database.

Output
For the polymorph energy (0 for the lowest one), the calculation gives 0.0 kJ per mole of atoms. As for the formation energy from the elements: -0.33 eV/f.u. The magnetic moment comes out at 2.33 μB/f.u. The space group is P4/mmm. Its crystal system is tetragonal. For the total energy, the calculation gives -28.6 eV per formula unit.

```
4
Lattice="4.659 0.000 0.000 0.000 4.175 0.000 0.000 0.000 4.175" Properties=species:S:1:pos:R:3 pbc="T T T"
Al 0.000 0.000 2.087
Al 0.000 2.087 0.000
U 2.329 2.087 2.087
Pa 2.329 0.000 0.000
```

Entry 2:
The following is a PBE calculation of UPaAl6 after structural relaxation, from the Alexandria database.

Output
As for the formation energy from the elements: -1.52 eV/f.u. The magnetic moment comes out at 2.56 μB/f.u. The space group is P-6m2. Its crystal system is hexagonal. For the total energy, the calculation gives -44.8 eV per formula unit.

```
8
Lattice="-4.600 0.141 0.327 -0.431 -4.744 -4.016 0.399 -1.128 6.115" Properties=species:S:1:pos:R:3 pbc="T T T"
Al -2.468 -4.821 -0.083
Al -0.099 -3.299 0.032
Al 0.138 -0.680 2.245
Al -2.454 -2.172 -1.030
Al -2.649 -4.314 -2.847
Al 0.121 -3.924 3.404
U 0.330 -1.430 5.268
Pa -2.246 -2.563 2.060
```

Entry 3:
The following is a PBE calculation of UPa2Al9 after structural relaxation, from the Alexandria database.

Output
As for the formation energy from the elements: -2.53 eV/f.u. The magnetic moment comes out at 2.56 μB/f.u. The space group is P4/mmm. Its crystal system is tetragonal. For the total energy, the calculation gives -66.5 eV per formula unit.

```
12
Lattice="4.286 0.000 0.000 0.000 4.286 0.000 0.000 0.000 12.882" Properties=species:S:1:pos:R:3 pbc="T T T"
Pa 0.000 0.000 4.279
Pa 0.000 0.000 8.603
Al 2.143 0.000 6.441
Al 0.000 2.143 10.767
Al 2.143 2.143 8.597
Al 0.000 2.143 6.441
Al 2.143 2.143 4.285
Al 0.000 2.143 2.114
Al 2.143 0.000 2.114
Al 2.143 0.000 10.767
Al 2.143 2.143 0.000
U 0.000 0.000 0.000
```